# Sr6Tl5Pd (PBE, optimized geometry)
# * ΔH_f (0 K): -0.42 eV/atom
# * magnetic moment: 0.0 Bohr magnetons per cell
data_Sr6Tl5Pd
_chemical_formula_sum 'Sr6 Tl5 Pd1'
_cell_length_a 5.692
_cell_length_b 8.113
_cell_length_c 9.888
_cell_angle_alpha 65.78
_cell_angle_beta 73.23
_cell_angle_gamma 90.00
_symmetry_space_group_name_H-M 'P 1'
_symmetry_Int_Tables_number 1
_symmetry_space_group_name_Hall 'P 1'
loop_
_atom_site_label
_atom_site_type_symbol
_atom_site_fract_x
_atom_site_fract_y
_atom_site_fract_z
Tl1 Tl 0.671 0.669 0.661
Tl2 Tl 0.329 0.331 0.339
Tl3 Tl 0.321 0.822 0.356
Tl4 Tl 0.000 0.500 0.000
Tl5 Tl 0.679 0.178 0.644
Sr1 Sr 0.500 0.233 0.000
Sr2 Sr 0.842 0.082 0.316
Sr3 Sr 0.842 0.603 0.316
Sr4 Sr 0.158 0.918 0.684
Sr5 Sr 0.500 0.767 0.000
Sr6 Sr 0.158 0.397 0.684
Pd1 Pd 0.000 0.000 0.000